DFT (GGA-PBE) results for BaRu3Au after structural relaxation.

space group	Pm-3m
calculated volume	25.38	Å³/atom
final energy	-5.135	eV/atom

a = 5.0252 Å, b = 5.0252 Å, c = 5.0252 Å
α = 90.00°, β = 90.00°, γ = 90.00°
Each line ends with the local moment (μB).
Fractional coordinates of all 5 atoms:
1 Ru 0.5000 0.0000 0.0000  1.18
2 Ru 0.0000 0.5000 0.0000  1.79
3 Ru 0.0000 0.0000 0.5000  2.11
4 Ba 0.5000 0.5000 0.5000  -0.05
5 Au 0.0000 0.0000 0.0000  0.28

DFT (GGA-PBE) results for Ba2Ru2Au after structural relaxation.

space group	I4/mmm
calculated volume	28.93	Å³/atom
final energy	-4.630	eV/atom

a = 6.1375 Å, b = 6.1375 Å, c = 5.7948 Å
α = 58.02°, β = 58.02°, γ = 90.00°
Fractional coordinates of all 5 atoms:
1 Au 0.0000 0.0000 0.0000
2 Ru 0.6493 0.6493 0.7015
3 Ru 0.3507 0.3507 0.2985
4 Ba 0.7500 0.2500 0.5000
5 Ba 0.2500 0.7500 0.5000

DFT (GGA-PBE) results for BaRu3Au after structural relaxation.

space group	Pm-3m
calculated volume	24.78	Å³/atom
final energy	-3.978	eV/atom

a = 4.9856 Å, b = 4.9856 Å, c = 4.9856 Å
α = 90.00°, β = 90.00°, γ = 90.00°
Each line ends with the local moment (μB).
Fractional coordinates of all 5 atoms:
1 Ru 0.0000 0.0000 0.5000  1.22
2 Ru 0.0000 0.5000 0.0000  1.37
3 Ru 0.5000 0.0000 0.0000  1.29
4 Au 0.5000 0.5000 0.5000  0.01
5 Ba 0.0000 0.0000 0.0000  -0.07

Energy of formation: 7.4, 2.5, 13.1 (eV per formula unit)